[1]
Density functional theory data (GGA-PBE) for a geometry-optimized HoScSi structure.

a b c (Å): 6.618 6.618 6.618
angles (deg): 90.00 90.00 90.00
Space group F-43m (No. 216)
Asymmetric unit:
Ho: 0.000 0.000 0.000
Sc: 0.000 0.000 0.500
Si: 0.250 0.250 0.250

Summary:
- Density of states at the Fermi level: 11.1 states/eV per cell
- Formation energy from raw total energies: -1.4 eV/f.u.
- Total DFT energy (no corrections): -5.921 eV/atom



[2]
Density functional theory data (GGA-PBE) for a geometry-optimized Cd2HgAs structure.

a b c (Å): 2.866 5.627 5.667
angles (deg): 90.00 90.00 90.00
Space group Pmmm (No. 47)
Asymmetric unit:
Cd: 0.000 0.000 0.000
Cd: 0.500 0.500 0.000
Hg: 0.000 0.500 0.500
As: 0.500 0.000 0.500

Summary:
- Density of states at the Fermi level: 1.8 states/eV per cell
- Total DFT energy (no corrections): -1.526 eV/atom
- Energy relative to the elements: 0.1698 eV/atom



[3]
Density functional theory data (GGA-PBE) for a geometry-optimized Tb7SmTl3 structure.

a b c (Å): 7.2486 7.2486 7.9049
angles (deg): 90.00 90.00 120.00
Space group P3m1 (No. 156)
Asymmetric unit:
Tb: 0.0000 0.0000 0.0000
Tb: 0.1624 0.3247 0.3542
Tb: 0.5038 0.0077 0.9912
Sm: 0.6667 0.3333 0.3465
Tl: 0.3312 0.1656 0.6743

Summary:
- Density of states at the Fermi level: 13.0 states/eV per cell
- Total DFT energy (no corrections): -4.073 eV/atom
- Energy relative to the elements: -0.0521 eV/atom



[4]
Density functional theory data (GGA-PBE) for a geometry-optimized MgSc3Tl2 structure.

a b c (Å): 5.0559 5.0559 12.4409
angles (deg): 90.00 90.00 120.00
Space group P-3m1 (No. 164)
Asymmetric unit:
Mg: 0.3333 0.6667 0.1688
Sc: 0.0000 0.0000 0.2513
Sc: 0.3333 0.6667 0.4212
Sc: 0.3333 0.6667 0.9220
Tl: 0.0000 0.0000 0.0000
Tl: 0.0000 0.0000 0.5000
Tl: 0.3333 0.6667 0.6811

Summary:
- Density of states at the Fermi level: 11.3 states/eV per cell
- Total DFT energy (no corrections): -4.443 eV/atom
- Energy relative to the elements: -0.2223 eV/atom



[5]
Density functional theory data (GGA-PBE) for a geometry-optimized Sr2Ni4Sn3Ge structure.

a b c (Å): 4.450 4.450 10.351
angles (deg): 90.00 90.00 90.00
Space group P-4m2 (No. 115)
Asymmetric unit:
Sr: 0.000 0.500 0.250
Ni: 0.000 0.000 0.000
Ni: 0.000 0.500 0.621
Ni: 0.500 0.500 0.000
Sn: 0.000 0.500 0.877
Sn: 0.500 0.500 0.500
Ge: 0.000 0.000 0.500

Summary:
- Density of states at the Fermi level: 7.4 states/eV per cell
- Total DFT energy (no corrections): -4.713 eV/atom
- Energy relative to the elements: -0.4011 eV/atom



[6]
Density functional theory data (GGA-PBE) for a geometry-optimized Nd2PaS3 structure.

a b c (Å): 6.922 11.982 6.973
angles (deg): 90.00 109.38 90.00
Space group C2/m (No. 12)
Asymmetric unit:
Nd: 0.000 0.000 0.000
Nd: 0.000 0.162 0.500
Nd: 0.000 0.500 0.500
Pa: 0.000 0.333 0.000
S: 0.238 0.500 0.238
S: 0.248 0.329 0.757

Summary:
- Density of states at the Fermi level: 21.0 states/eV per cell
- Formation energy from raw total energies: -11.1 eV/f.u.
- Total DFT energy (no corrections): -7.089 eV/atom